Nd2In2Hg | PBE-GGA | optimized geometry

- V: 28.41 Å³/atom
- E: -35.3 eV/cell
- Energy of formation: -0.46 eV/atom
- Total magnetic moment: 0.00 μB/f.u.

```
Nd2In2Hg
1.0
5.775 -2.425 0.000
5.775 2.425 0.000
-4.982 0.000 10.143
Nd In Hg
4 4 2
Direct
0.016 0.016 0.331
0.177 0.177 0.097
0.823 0.823 0.903
0.984 0.984 0.669
0.359 0.359 0.436
0.467 0.467 0.115
0.533 0.533 0.885
0.641 0.641 0.564
0.278 0.278 0.667
0.722 0.722 0.333
```